# 1
DFT (PBEsol) results for Al2RhW after structural relaxation.

Cell and atoms, written as CIF:
```
data_Al2RhW
_cell_length_a 8.670
_cell_length_b 8.670
_cell_length_c 8.670
_cell_angle_alpha 18.64
_cell_angle_beta 18.64
_cell_angle_gamma 18.64
_space_group_name_H-M_alt 'P 1'
_space_group_IT_number 1
loop_
_space_group_symop_operation_xyz
'x,y,z'
loop_
_atom_site_label
_atom_site_type_symbol
_atom_site_fract_x
_atom_site_fract_y
_atom_site_fract_z
_atom_site_occupancy
Al1 Al 0.245 0.245 0.245 1
Al2 Al 0.755 0.755 0.755 1
Rh1 Rh 0.500 0.500 0.500 1
W1 W 0.000 0.000 0.000 1
```

For the magnetic moment, the calculation gives 0.000 μB/f.u. For the electronic total energy, the calculation gives -0.57582 Ry per atom. The calculated volume is 58.2 Å³/cell. The energy above the most stable polymorph in this dataset is 0.000 eV per atom. For the formation enthalpy at 0 K, the calculation gives -0.302 eV per atom.

=====

# 2
DFT (PBEsol) results for Mn2NiOs after structural relaxation.

Cell and atoms, written as CIF:
```
data_Mn2NiOs
_cell_length_a 4.349
_cell_length_b 4.349
_cell_length_c 4.349
_cell_angle_alpha 131.08
_cell_angle_beta 131.08
_cell_angle_gamma 71.69
_space_group_name_H-M_alt 'P 1'
_space_group_IT_number 1
loop_
_space_group_symop_operation_xyz
'x,y,z'
loop_
_atom_site_label
_atom_site_type_symbol
_atom_site_fract_x
_atom_site_fract_y
_atom_site_fract_z
_atom_site_occupancy
Mn1 Mn 0.250 0.750 0.500 1
Mn2 Mn 0.750 0.250 0.500 1
Ni1 Ni 0.000 0.000 0.000 1
Os1 Os 0.500 0.500 0.000 1
```

For the magnetic moment, the calculation gives 2.215 μB/f.u. For the electronic total energy, the calculation gives -0.69338 Ry per atom. The calculated volume is 45.7 Å³/cell. For the formation enthalpy at 0 K, the calculation gives 0.040 eV per atom.